[1]
# PBE-GGA BaVRh2W, optimized geometry
data_BaVRh2W
_cell_length_a 4.9021
_cell_length_b 4.9021
_cell_length_c 5.1799
_cell_angle_alpha 90.00
_cell_angle_beta 90.00
_cell_angle_gamma 90.00
_space_group_name_H-M_alt 'P 4/m m m'
_space_group_IT_number 123
_space_group_name_Hall '-P 4 2'
loop_
_atom_site_label
_atom_site_type_symbol
_atom_site_fract_x
_atom_site_fract_y
_atom_site_fract_z
Ba1 Ba 0.0000 0.0000 0.0000
V1 V 0.5000 0.5000 0.5000
Rh1 Rh 0.0000 0.5000 0.0000
W1 W 0.0000 0.0000 0.5000
# Density ... 7.71 g/cm3
# Energy ... -24.2 eV/cell
# Formation enthalpy at 0 K ... 2.903 eV per atom

[2]
# PBE-GGA TlHgGeO4, optimized geometry
data_TlHgGeO4
_cell_length_a 6.6021
_cell_length_b 6.6191
_cell_length_c 9.3764
_cell_angle_alpha 90.00
_cell_angle_beta 90.00
_cell_angle_gamma 90.00
_space_group_name_H-M_alt 'I m m a'
_space_group_IT_number 74
_space_group_name_Hall '-I 2b 2'
loop_
_atom_site_label
_atom_site_type_symbol
_atom_site_fract_x
_atom_site_fract_y
_atom_site_fract_z
Tl1 Tl 0.2500 0.2500 0.2500
Hg1 Hg 0.0000 0.0000 0.0000
Ge1 Ge 0.0000 0.2500 0.6248
O1 O 0.0000 0.0254 0.7359
O2 O 0.2247 0.2500 0.5123
# E_form (uncorrected) ... -0.820 eV per atom
# Density ... 8.78 g/cm3
# Energy ... -131.4 eV/cell

[3]
# PBE-GGA Ac12Nd3Sc, optimized geometry
data_Ac12Nd3Sc
_cell_length_a 5.5030
_cell_length_b 5.5030
_cell_length_c 22.0065
_cell_angle_alpha 90.00
_cell_angle_beta 90.00
_cell_angle_gamma 90.00
_space_group_name_H-M_alt 'P 4/m m m'
_space_group_IT_number 123
_space_group_name_Hall '-P 4 2'
loop_
_atom_site_label
_atom_site_type_symbol
_atom_site_fract_x
_atom_site_fract_y
_atom_site_fract_z
Ac1 Ac 0.0000 0.0000 0.0000
Ac2 Ac 0.0000 0.0000 0.2474
Ac3 Ac 0.0000 0.0000 0.5000
Ac4 Ac 0.0000 0.5000 0.1210
Ac5 Ac 0.0000 0.5000 0.3735
Nd1 Nd 0.5000 0.5000 0.2469
Nd2 Nd 0.5000 0.5000 0.5000
Sc1 Sc 0.5000 0.5000 0.0000
# Density ... 7.98 g/cm3
# Energy ... -69.3 eV/cell
# Formation enthalpy at 0 K ... 0.041 eV per atom

Q: What is the energy in the first record?
A: -24.2 eV/cell